12
Lattice="2.5431 -4.3764 0.0000 2.5431 4.3764 0.0000 -1.7612 0.0000 4.7216" Properties=species:S:1:pos:R:3 comment="Li5VO6 | the Alexandria database | PBE+U | optimized geometry" dos_ef_per_ev_fu=5.18 total_magnetization_mub_per_cell=2.02 final_energy_ev_per_cell=-67.5 sg="C2/m, No. 12" pbc="T T T"
Li 0.0000 0.0000 0.0000
Li 1.6624 2.9043 2.3608
Li 2.5431 1.5610 0.0000
Li 2.5431 -1.5610 0.0000
Li 1.6624 -2.9043 2.3608
V 1.6624 0.0000 2.3608
O 0.9029 1.3387 1.2518
O 0.1052 0.0000 3.4335
O 0.9029 -1.3387 1.2518
O 2.4220 1.3387 3.4698
O 3.2197 0.0000 1.2881
O 2.4220 -1.3387 3.4698